SrMn: relaxed, GGA-PBE.

abc: 7.1307 7.1307 7.8230
angles: 66.25 66.25 30.47
With the nearest neighbours (Å) after each atom.
Fractional positions:
Mn 0.4325 0.4325 0.8432  3 Mn 2.44-2.59
Sr 0.9713 0.9713 0.4679  5 Mn 3.33-3.67, 1 Sr 3.64
Mn 0.9822 0.9822 0.9910  4 Mn 2.44-2.52
Sr 0.7192 0.7192 0.0564  5 Mn 3.29-3.44
Sr 0.6840 0.6840 0.6052  1 Mn 3.17
Mn 0.3774 0.3774 0.2030  3 Mn 2.52-2.59

Summary:
Energy relative to the elements, eV/atom: 0.486
Crystal system: monoclinic
Total magnetization, μB/atom: 0.610
Space-group type: No. 8

SrLi2MgAl: relaxed, GGA-PBE.

abc: 5.1798 5.1798 5.2068
angles: 90.00 90.00 90.00
With the nearest neighbours (Å) after each atom.
Fractional positions:
Li 0.0000 0.5000 0.0000  2 Al 2.59
Mg 0.0000 0.0000 0.5000  2 Al 2.60
Al 0.0000 0.0000 0.0000  4 Li 2.59, 2 Mg 2.60
Li 0.5000 0.0000 0.0000  2 Al 2.59
Sr 0.5000 0.5000 0.5000  4 Mg 3.66, 8 Li 3.67

Summary:
Energy relative to the elements, eV/atom: 0.062
Crystal system: tetragonal
Total magnetization, μB/atom: 0.000
Space-group type: No. 123